[1]
An optimized crystal structure of VIrPt2, computed with PBE.

Output
- Crystal system: tetragonal
- Excess energy over the best structure of this formula in the dataset: 566.3 meV/atom
- Calculated formation energy: 0.1531 eV/atom

CIF file:
```
data_VIrPt2
_cell_length_a 7.0353
_cell_length_b 7.0353
_cell_length_c 5.2296
_cell_angle_alpha 90.00
_cell_angle_beta 90.00
_cell_angle_gamma 90.00
_space_group_name_H-M_alt 'I -4 2 d'
_space_group_IT_number 122
_space_group_name_Hall 'I -4 2bw'
loop_
_atom_site_label
_atom_site_type_symbol
_atom_site_fract_x
_atom_site_fract_y
_atom_site_fract_z
V1 V 0.0000 0.0000 0.0000
Ir1 Ir 0.0000 0.0000 0.5000
Pt1 Pt 0.2218 0.7500 0.1250
```

---

[2]
An optimized crystal structure of Pr7HgGe5, computed with PBE.

Output
- Crystal system: orthorhombic
- Calculated formation energy: -0.5150 eV/atom

CIF file:
```
data_Pr7HgGe5
_cell_length_a 6.3349
_cell_length_b 11.2725
_cell_length_c 10.2714
_cell_angle_alpha 90.00
_cell_angle_beta 90.00
_cell_angle_gamma 90.00
_space_group_name_H-M_alt 'I m m 2'
_space_group_IT_number 44
loop_
_space_group_symop_operation_xyz
'x,y,z'
'-x,-y,z'
'-x,y,z'
'x,-y,z'
'x+1/2,y+1/2,z+1/2'
'-x+1/2,-y+1/2,z+1/2'
'-x+1/2,y+1/2,z+1/2'
'x+1/2,-y+1/2,z+1/2'
loop_
_atom_site_label
_atom_site_type_symbol
_atom_site_fract_x
_atom_site_fract_y
_atom_site_fract_z
Pr1 Pr 0.0000 0.0000 0.0000
Pr2 Pr 0.0000 0.0000 0.3862
Pr3 Pr 0.0000 0.3159 0.6842
Pr4 Pr 0.0000 0.3314 0.1192
Pr5 Pr 0.0000 0.5000 0.3659
Hg1 Hg 0.0000 0.0000 0.6920
Ge1 Ge 0.0000 0.5000 0.8909
Ge2 Ge 0.2083 0.2617 0.4107
```

---

[3]
An optimized crystal structure of HfNp4As4, computed with PBE.

Output
- Crystal system: tetragonal
- Calculated formation energy: -0.1621 eV/atom

CIF file:
```
data_HfNp4As4
_cell_length_a 7.2795
_cell_length_b 7.2795
_cell_length_c 8.8997
_cell_angle_alpha 90.00
_cell_angle_beta 90.00
_cell_angle_gamma 90.00
_space_group_name_H-M_alt 'I -4 2 m'
_space_group_IT_number 121
_space_group_name_Hall 'I -4 2'
loop_
_atom_site_label
_atom_site_type_symbol
_atom_site_fract_x
_atom_site_fract_y
_atom_site_fract_z
Hf1 Hf 0.0000 0.0000 0.0000
Np1 Np 0.0000 0.0000 0.3464
Np2 Np 0.0000 0.5000 0.0000
As1 As 0.2237 0.2237 0.8434
```

---

[4]
An optimized crystal structure of Sc4InPd, computed with PBE.

Output
- Crystal system: monoclinic
- Calculated formation energy: -0.2504 eV/atom

CIF file:
```
data_Sc4InPd
_cell_length_a 8.1999
_cell_length_b 4.7263
_cell_length_c 8.1787
_cell_angle_alpha 90.00
_cell_angle_beta 109.46
_cell_angle_gamma 90.00
_space_group_name_H-M_alt 'C 1 2/m 1'
_space_group_IT_number 12
loop_
_space_group_symop_operation_xyz
'x,y,z'
'-x,-y,-z'
'-x,y,-z'
'x,-y,z'
'x+1/2,y+1/2,z'
'-x+1/2,-y+1/2,-z'
'-x+1/2,y+1/2,-z'
'x+1/2,-y+1/2,z'
loop_
_atom_site_label
_atom_site_type_symbol
_atom_site_fract_x
_atom_site_fract_y
_atom_site_fract_z
Sc1 Sc 0.1160 0.0000 0.3469
Sc2 Sc 0.1320 0.5000 0.8963
In1 In 0.0000 0.5000 0.5000
Pd1 Pd 0.0000 0.0000 0.0000
```

---

> Which of these has the lowest calculated formation energy?

Pr7HgGe5